A relaxed FeBiPPbO7 crystal. Source: the Alexandria database, functional PBE+U.

Structure (CIF):
```
data_FeBiPPbO7
_chemical_formula_sum 'Fe1 Bi1 P1 Pb1 O7'
_space_group_name_H-M_alt 'P 1'
_space_group_IT_number 1
_space_group_name_Hall 'P 1'
_cell_length_a 6.3330
_cell_length_b 6.3330
_cell_length_c 8.7906
_cell_angle_alpha 118.18
_cell_angle_beta 118.18
_cell_angle_gamma 37.60
loop_
_atom_site_label
_atom_site_fract_x
_atom_site_fract_y
_atom_site_fract_z
Fe1 0.0000 0.0000 0.0000
Bi1 0.2422 0.2422 0.8083
P1 0.5711 0.5711 0.3755
Pb1 0.7748 0.7748 0.1887
O1 0.1600 0.1600 0.0005
O2 0.3319 0.8536 0.2588
O3 0.4353 0.4353 0.3469
O4 0.4484 0.4484 0.9099
O5 0.6779 0.6779 0.5656
O6 0.8188 0.8188 0.9499
O7 0.8536 0.3319 0.2588
```

Summary:
VASP energy in eV/atom: -6.2592
Total magnetization in μB per formula unit: 4.978
ρ in Mg/m³: 5.48